First-principles (GGA+U) data for a geometry-optimized CdMoClO4 structure, as listed in the Alexandria database.

Cell lengths 6.3647, 6.3647, 8.8463 Å; angles 76.90, 76.90, 67.04 degrees
With the nearest neighbours (Å) after each atom.
Sites, in units of the cell vectors:
Cd: 0.2900 0.2900 0.7452  4 O 2.17-2.23
Cd: 0.7100 0.7100 0.2548  4 O 2.17-2.23
Mo: 0.6637 0.6637 0.7127  4 O 1.78-1.80
Mo: 0.3363 0.3363 0.2873  4 O 1.78-1.80
Cl: 0.0629 0.0629 0.0666  1 Cl 2.01
Cl: 0.9371 0.9371 0.9334  1 Cl 2.01
O: 0.2815 0.2815 0.4961  1 Mo 1.78
O: 0.7185 0.7185 0.5039  1 Mo 1.78
O: 0.0671 0.4807 0.2112  1 Mo 1.80
O: 0.5117 0.5117 0.2278  1 Mo 1.79
O: 0.5193 0.9329 0.7888  1 Mo 1.80
O: 0.4807 0.0671 0.2112  1 Mo 1.80
O: 0.4883 0.4883 0.7722  1 Mo 1.79
O: 0.9329 0.5193 0.7888  1 Mo 1.80

volume = 22.7 Å³/atom
SG = C2/m, No. 12
DFT total energy = -5.45 eV/atom